The following is a PBE-GGA calculation of crystalline RbY2SbAu at its relaxed geometry, from the Alexandria database.

Properties
Total energy = -4.285 eV per atom
Formation energy without anion corrections = -0.03 eV per atom
DOS(E_F) = 4.04 states/eV/cell

Cell: 5.5871 5.5871 5.8819 Å, 90.00 90.00 90.00°
Element x y z (fractional)
Rb 0.0000 0.0000 0.0000
Y 0.0000 0.5000 0.5000
Y 0.5000 0.0000 0.5000
Sb 0.5000 0.5000 0.0000
Au 0.0000 0.0000 0.5000

The following is a PBE-GGA calculation of crystalline MgAgBrF2 at its relaxed geometry, from the Alexandria database.

Properties
Total energy = -4.014 eV per atom
Formation energy without anion corrections = -2.04 eV per atom

Cell: 3.9186 3.9186 5.8754 Å, 90.00 90.00 90.00°
Element x y z (fractional)
Mg 0.0000 0.0000 0.0000
Ag 0.5000 0.5000 0.5000
Br 0.0000 0.0000 0.5000
F 0.0000 0.5000 0.0000
F 0.5000 0.0000 0.0000

The following is a PBE-GGA calculation of crystalline CdH4 at its relaxed geometry, from the Alexandria database.

Properties
Total energy = -2.013 eV per atom
DOS(E_F) = 0.92 states/eV/cell

Cell: 3.7343 3.7343 3.7343 Å, 90.00 90.00 90.00°
Element x y z (fractional)
Cd 0.0000 0.0000 0.0000
H 0.0000 0.0000 0.5000
H 0.0000 0.5000 0.0000
H 0.5000 0.0000 0.0000
H 0.5000 0.5000 0.5000

The following is a PBE-GGA calculation of crystalline SrPuGaSn at its relaxed geometry, from the Alexandria database.

Properties
Total energy = -6.043 eV per atom
Calculated formation energy = -0.28 eV/atom
DOS(E_F) = 12.28 states/eV/cell

Cell: 5.4327 5.4327 5.4327 Å, 60.00 60.00 60.00°
Element x y z (fractional)
Sr 0.0000 0.0000 0.0000
Pu 0.5000 0.5000 0.5000
Ga 0.2500 0.2500 0.2500
Sn 0.7500 0.7500 0.7500